[1]
The following is a GGA-PBE calculation of Sm4TmTe2 after structural relaxation, from the Alexandria database.

a b c (Å): 5.5019 5.5019 9.4827
angles (deg): 73.14 73.14 60.00
Last column: nearest neighbours and their distance in Å.
Sites, in units of the cell vectors:
Sm 0.7331 0.7331 0.8007  4 Te 3.18-3.20
Sm 0.1331 0.1331 0.6006  3 Tm 3.30, 7 Sm 3.59-3.65
Sm 0.8669 0.8669 0.3994  3 Tm 3.30, 7 Sm 3.59-3.65
Sm 0.2669 0.2669 0.1993  4 Te 3.18-3.20
Tm 0.5000 0.5000 0.5000  2 Te 3.07, 6 Sm 3.30
Te 0.3855 0.3855 0.8434  1 Tm 3.07, 4 Sm 3.18-3.20
Te 0.6145 0.6145 0.1566  1 Tm 3.07, 4 Sm 3.18-3.20

Computed properties:
The size of the total moment comes out at 0.0 μB per cell. The mass density is 7.271 Mg/m³. As for the energy relative to the elements, uncorrected: -0.556 eV/atom.

---

[2]
The following is a GGA-PBE calculation of CaNd5Er3 after structural relaxation, from the Alexandria database.

a b c (Å): 9.9660 12.2414 7.1011
angles (deg): 125.44 90.00 114.02
Last column: nearest neighbours and their distance in Å.
Sites, in units of the cell vectors:
Nd 0.3457 0.0000 0.7500  2 Nd 3.31, 3 Ca 3.40-3.57
Nd 0.9940 0.6923 0.4422  5 Nd 3.28-3.60, 2 Er 3.52
Nd 0.6349 0.6326 0.3826  4 Nd 3.28-3.60, 1 Ca 3.43, 4 Er 3.62-3.65
Nd 0.6983 0.6923 0.9422  5 Nd 3.28-3.60, 2 Er 3.52
Nd 0.6543 0.0000 0.2500  2 Nd 3.31, 3 Ca 3.40-3.57
Nd 0.3651 0.3674 0.6174  4 Nd 3.28-3.60, 1 Ca 3.43, 4 Er 3.62-3.65
Nd 0.3017 0.3077 0.0578  5 Nd 3.28-3.60, 2 Er 3.52
Nd 0.0023 0.3674 0.1174  4 Nd 3.28-3.60, 1 Ca 3.43, 4 Er 3.62-3.65
Nd 0.0060 0.3077 0.5578  5 Nd 3.28-3.60, 2 Er 3.52
Nd 0.9977 0.6326 0.8826  4 Nd 3.28-3.60, 1 Ca 3.43, 4 Er 3.62-3.65
Er 0.6667 0.3336 0.8335  2 Er 3.55, 10 Nd 3.62-3.94, 2 Ca 3.86
Er 0.3333 0.6664 0.1665  2 Er 3.55, 10 Nd 3.62-3.94, 2 Ca 3.86
Er 0.0000 0.0000 0.5000  6 Nd 3.52-3.88, 2 Er 3.55, 2 Ca 3.59
Er 0.3331 0.6664 0.6665  2 Er 3.55, 10 Nd 3.62-3.94, 2 Ca 3.86
Er 0.6669 0.3336 0.3335  2 Er 3.55, 10 Nd 3.62-3.94, 2 Ca 3.86
Er 0.0000 0.0000 0.0000  6 Nd 3.52-3.88, 2 Er 3.55, 2 Ca 3.59
Ca 0.6872 0.0000 0.7500  5 Nd 3.40-3.57, 2 Er 3.59
Ca 0.3128 0.0000 0.2500  5 Nd 3.40-3.57, 2 Er 3.59

Computed properties:
The size of the total moment comes out at 0.0 μB per cell. For the energy relative to the elements, the calculation gives 7 kJ per mole of atoms. The mass density is 6.861 Mg/m³.

---

[3]
The following is a GGA-PBE calculation of La4AsSI2 after structural relaxation, from the Alexandria database.

a b c (Å): 4.3212 7.4546 8.1905
angles (deg): 107.90 90.00 90.00
Last column: nearest neighbours and their distance in Å.
Sites, in units of the cell vectors:
I 0.0000 0.5000 0.5000  6 La 3.48-3.50
I 0.5000 0.0000 0.5000  6 La 3.39
S 0.0000 0.0000 0.0000  6 La 2.85-2.88
As 0.5000 0.5000 0.0000  6 La 2.97-2.99
La 0.0000 0.2545 0.8022  1 S 2.85, 2 As 2.97
La 0.5000 0.7803 0.8061  2 S 2.88, 1 As 2.99
La 0.5000 0.2197 0.1939  2 S 2.88, 1 As 2.99
La 0.0000 0.7455 0.1978  1 S 2.85, 2 As 2.97

Computed properties:
The size of the total moment comes out at 0.0 μB per cell. The mass density is 6.061 Mg/m³. As for the energy relative to the elements, uncorrected: -1.507 eV/atom.

---

[4]
The following is a GGA-PBE calculation of KPm2AuS4 after structural relaxation, from the Alexandria database.

a b c (Å): 4.1161 7.2112 14.3290
angles (deg): 90.00 90.00 106.58
Last column: nearest neighbours and their distance in Å.
Sites, in units of the cell vectors:
S 0.2647 0.5295 0.1062  1 Au 2.54, 2 Pm 2.81
S 0.2647 0.5295 0.3938  1 Au 2.54, 2 Pm 2.81
S 0.5525 0.1050 0.2500  2 Au 2.51
S 0.7353 0.4705 0.8938  1 Au 2.54, 2 Pm 2.81
S 0.0000 0.0000 0.0000  4 Pm 2.91
S 0.7353 0.4705 0.6062  1 Au 2.54, 2 Pm 2.81
S 0.0000 0.0000 0.5000  4 Pm 2.91
S 0.4475 0.8950 0.7500  2 Au 2.51
K 0.8816 0.7633 0.2500  6 S 3.13-3.33
K 0.1184 0.2367 0.7500  6 S 3.13-3.33
Pm 0.3679 0.7357 0.5667  6 S 2.81-2.91
Pm 0.6321 0.2643 0.0667  6 S 2.81-2.91
Pm 0.3679 0.7357 0.9333  6 S 2.81-2.91
Pm 0.6321 0.2643 0.4333  6 S 2.81-2.91
Au 0.8433 0.6865 0.7500  4 S 2.51-2.54
Au 0.1567 0.3135 0.2500  4 S 2.51-2.54

Computed properties:
The size of the total moment comes out at 0.0 μB per cell. The mass density is 5.331 Mg/m³. As for the energy relative to the elements, uncorrected: -1.551 eV/atom.

---

[5]
The following is a GGA-PBE calculation of LaTaSeBr2 after structural relaxation, from the Alexandria database.

a b c (Å): 5.5243 5.5243 6.6779
angles (deg): 90.00 90.00 90.00
Last column: nearest neighbours and their distance in Å.
Sites, in units of the cell vectors:
Br 0.0000 0.5000 0.0000  2 La 2.76
Br 0.5000 0.0000 0.0000  2 La 2.76
Se 0.5000 0.5000 0.5000  4 Ta 3.91, 8 Br 4.33
Ta 0.0000 0.0000 0.5000  2 La 3.34
La 0.0000 0.0000 0.0000  4 Br 2.76

Computed properties:
The size of the total moment comes out at 2.5 μB per cell. The mass density is 4.552 Mg/m³. As for the energy relative to the elements, uncorrected: 0.480 eV/atom. For the energy above the lowest structure with this stoichiometry, the calculation gives 885 meV/atom.

---

[6]
The following is a GGA-PBE calculation of ZnHgN2F after structural relaxation, from the Alexandria database.

a b c (Å): 4.1960 4.1960 4.7050
angles (deg): 90.00 90.00 90.00
Last column: nearest neighbours and their distance in Å.
Sites, in units of the cell vectors:
Hg 0.0000 0.0000 0.0000  4 N 2.10
N 0.0000 0.5000 0.0000  2 Hg 2.10
N 0.5000 0.0000 0.0000  2 Hg 2.10
F 0.0000 0.0000 0.5000  2 Hg 2.35
Zn 0.5000 0.5000 0.5000  4 F 2.97, 8 N 3.15

Computed properties:
The size of the total moment comes out at 2.2 μB per cell. The mass density is 6.274 Mg/m³. As for the energy relative to the elements, uncorrected: 1.396 eV/atom. For the energy above the lowest structure with this stoichiometry, the calculation gives 563 meV/atom.

---

[7]
The following is a GGA-PBE calculation of CdSi2BiSb after structural relaxation, from the Alexandria database.

a b c (Å): 5.2264 5.2264 5.9134
angles (deg): 90.00 90.00 90.00
Last column: nearest neighbours and their distance in Å.
Sites, in units of the cell vectors:
Bi 0.0000 0.0000 0.5000  2 Sb 2.96
Cd 0.5000 0.5000 0.5000  4 Bi 3.70, 8 Si 3.95
Si 0.0000 0.5000 0.0000  2 Sb 2.61
Si 0.5000 0.0000 0.0000  2 Sb 2.61
Sb 0.0000 0.0000 0.0000  4 Si 2.61

Computed properties:
The size of the total moment comes out at 0.0 μB per cell. The mass density is 5.133 Mg/m³. As for the energy relative to the elements, uncorrected: 1.040 eV/atom.

---

[8]
The following is a GGA-PBE calculation of Dy4Mn after structural relaxation, from the Alexandria database.

a b c (Å): 7.4621 7.4621 7.4621
angles (deg): 60.00 60.00 60.00
Last column: nearest neighbours and their distance in Å.
Sites, in units of the cell vectors:
Dy 0.3623 0.3623 0.9131  1 Mn 2.52
Dy 0.3623 0.9131 0.3623  1 Mn 2.52
Dy 0.3623 0.3623 0.3623  1 Mn 2.52
Dy 0.8877 0.8877 0.3369  1 Mn 2.52
Dy 0.8877 0.3369 0.8877  1 Mn 2.52
Dy 0.3369 0.8877 0.8877  1 Mn 2.52
Dy 0.8877 0.8877 0.8877  1 Mn 2.52
Dy 0.9131 0.3623 0.3623  1 Mn 2.52
Mn 0.5000 0.5000 0.5000  4 Dy 2.52
Mn 0.7500 0.7500 0.7500  4 Dy 2.52

Computed properties:
The size of the total moment comes out at 1.9 μB per cell. For the energy relative to the elements, the calculation gives 53 kJ per mole of atoms. The mass density is 7.968 Mg/m³. For the energy above the lowest structure with this stoichiometry, the calculation gives 300 meV/atom.

---

[9]
The following is a GGA-PBE calculation of HPd2RhPb after structural relaxation, from the Alexandria database.

a b c (Å): 4.8870 5.1845 4.8870
angles (deg): 90.00 90.00 90.00
Last column: nearest neighbours and their distance in Å.
Sites, in units of the cell vectors:
H 0.5000 0.5000 0.5000  4 Pb 3.46, 8 Pd 3.56
Pd 0.5000 0.0000 0.0000  2 Rh 2.44
Pd 0.0000 0.0000 0.5000  2 Rh 2.44
Rh 0.0000 0.0000 0.0000  4 Pd 2.44, 2 Pb 2.59
Pb 0.0000 0.5000 0.0000  2 Rh 2.59

Computed properties:
The size of the total moment comes out at 0.0 μB per cell. The mass density is 7.027 Mg/m³. For the energy above the lowest structure with this stoichiometry, the calculation gives 1411 meV/atom.

---

[10]
The following is a GGA-PBE calculation of ZnCdSe2Br after structural relaxation, from the Alexandria database.

a b c (Å): 4.9262 4.9262 5.2910
angles (deg): 90.00 90.00 90.00
Last column: nearest neighbours and their distance in Å.
Sites, in units of the cell vectors:
Se 0.0000 0.5000 0.0000  2 Zn 2.46
Se 0.5000 0.0000 0.0000  2 Zn 2.46
Br 0.0000 0.0000 0.5000  2 Zn 2.65
Zn 0.0000 0.0000 0.0000  4 Se 2.46, 2 Br 2.65
Cd 0.5000 0.5000 0.5000  4 Br 3.48, 8 Se 3.61

Computed properties:
The size of the total moment comes out at 0.0 μB per cell. The mass density is 5.375 Mg/m³. As for the energy relative to the elements, uncorrected: 0.102 eV/atom. For the energy above the lowest structure with this stoichiometry, the calculation gives 0 meV/atom.

---

Respective DFT total energy values: -4.7886; -4.3188; -5.4559; -5.3488; -4.2417; -2.6236; -2.9125; -4.9706; -3.7442; -2.0645 eV per atom.